Entry 1:
Below is crystalline Nd4BiSb2 at its relaxed geometry, with properties calculated at the PBE level.

Summary:
ΔE_f (raw), eV/atom: -0.99

```
Nd4BiSb2
1.0
-4.791 4.791 4.780
4.791 -4.791 4.780
4.791 4.791 -4.780
Nd Bi Sb
8 2 4
Direct
0.119 0.514 0.748
0.121 0.016 0.752
0.264 0.369 0.248
0.486 0.234 0.605
0.629 0.881 0.395
0.631 0.879 0.895
0.766 0.371 0.252
0.984 0.736 0.105
0.250 0.750 0.500
0.500 0.500 0.000
0.002 0.125 0.377
0.375 0.998 0.123
0.748 0.625 0.623
0.875 0.252 0.877
```


Entry 2:
Below is crystalline Zr2ZnSi3Ir4 at its relaxed geometry, with properties calculated at the PBE level.

Summary:
ΔE_f (raw), eV/atom: -0.78

```
Zr2ZnSi3Ir4
1.0
4.045 0.000 0.000
0.000 4.045 0.000
0.000 0.000 9.920
Zr Zn Si Ir
2 1 3 4
Direct
0.000 0.500 0.249
0.500 0.000 0.751
0.500 0.500 0.000
0.000 0.000 0.000
0.000 0.500 0.632
0.500 0.000 0.368
0.000 0.000 0.500
0.000 0.500 0.861
0.500 0.000 0.139
0.500 0.500 0.500
```


Entry 3:
Below is crystalline Ca2CrHg at its relaxed geometry, with properties calculated at the PBE level.

Summary:
DFT formation energy, kJ/mol of formula units: 111

```
Ca2CrHg
1.0
1.923 1.110 9.418
-1.923 1.110 9.418
0.000 -2.220 9.418
Ca Cr Hg
2 1 1
Direct
0.248 0.248 0.248
0.752 0.752 0.752
0.000 0.000 0.000
0.500 0.500 0.500
```